# Hf2HgP

Hf2HgP after structural relaxation (PBE-GGA, Alexandria via LeMat-Bulk).

Cell lengths 7.3370, 7.3370, 6.0249 Å; angles 52.49, 52.49, 90.00 degrees
Element x y z (fractional)
Hf (0.3750, 0.4061, 0.7500)
Hf (0.8750, 0.8439, 0.7500)
Hf (0.5939, 0.1250, 0.2500)
Hf (0.1561, 0.6250, 0.2500)
Hg (0.0000, 0.0000, 0.0000)
Hg (0.7500, 0.2500, 0.5000)
P (0.5000, 0.5000, 0.0000)
P (0.2500, 0.7500, 0.5000)

Results
* formation enthalpy at 0 K: -6.893 kcal/mol of atoms